Record 1
A plane-wave DFT calculation with GGA-PBE was carried out for a relaxed structure of Nb3CdI.

Cell lengths 5.0325, 5.0325, 5.0325 Å; angles 90.00, 90.00, 90.00 degrees
Last column: nearest neighbours and their distance in Å.
Positions (direct):
Nb (0.0000, 0.0000, 0.5000)  2 I 2.52
Nb (0.0000, 0.5000, 0.0000)  2 I 2.52
Nb (0.5000, 0.0000, 0.0000)  2 I 2.52
Cd (0.5000, 0.5000, 0.5000)  12 Nb 3.56
I (0.0000, 0.0000, 0.0000)  6 Nb 2.52

Symmetry ... Pm-3m (221)
E_form (uncorrected) ... 1.546 eV per atom
Offset from the most stable computed form ... 0 meV/atom
Spin magnetization ... 0.272 μB/atom



Record 2
A plane-wave DFT calculation with GGA-PBE was carried out for a relaxed structure of Rb2ZnInAs.

Cell lengths 6.9193, 6.9193, 4.6584 Å; angles 90.00, 90.00, 90.00 degrees
Last column: nearest neighbours and their distance in Å.
Positions (direct):
Rb (0.0000, 0.5000, 0.0000)  2 As 3.46
Rb (0.5000, 0.0000, 0.0000)  2 As 3.46
Zn (0.0000, 0.0000, 0.5000)  2 As 2.33
In (0.5000, 0.5000, 0.5000)  8 Rb 4.17, 2 In 4.66
As (0.0000, 0.0000, 0.0000)  2 Zn 2.33

Energy of formation from the pure elements ... 0.0747 eV/atom
Symmetry ... P4/mmm (123)
Spin magnetization ... 0.000 μB/atom



Record 3
A plane-wave DFT calculation with GGA-PBE was carried out for a relaxed structure of AcPm2.

Cell lengths 9.3886, 9.3886, 9.3886 Å; angles 23.33, 23.33, 23.33 degrees
Last column: nearest neighbours and their distance in Å.
Positions (direct):
Ac (0.0000, 0.0000, 0.0000)  6 Ac 3.80, 6 Pm 3.82
Pm (0.5523, 0.5523, 0.5523)  9 Pm 3.61-3.80, 3 Ac 3.82
Pm (0.7810, 0.7810, 0.7810)  9 Pm 3.61-3.80, 3 Ac 3.82

Energy of formation from the pure elements ... 0.0433 eV/atom
Symmetry ... R3m (160)
Offset from the most stable computed form ... 7 meV/atom
Spin magnetization ... 0.000 μB/atom



Record 4
A plane-wave DFT calculation with GGA-PBE was carried out for a relaxed structure of Pa2TeMo.

Cell lengths 3.4570, 3.4570, 7.8672 Å; angles 90.00, 90.00, 90.00 degrees
Last column: nearest neighbours and their distance in Å.
Positions (direct):
Pa (0.0000, 0.0000, 0.2232)  4 Mo 3.01, 4 Te 3.27
Pa (0.0000, 0.0000, 0.7768)  4 Mo 3.01, 4 Te 3.27
Te (0.5000, 0.5000, 0.5000)  8 Pa 3.27, 4 Te 3.46
Mo (0.5000, 0.5000, 0.0000)  8 Pa 3.01

Symmetry ... P4/mmm (123)
E_form (uncorrected) ... -0.189 eV per atom
Offset from the most stable computed form ... 0 meV/atom
Spin magnetization ... 0.000 μB/atom



Record 5
A plane-wave DFT calculation with GGA-PBE was carried out for a relaxed structure of PmPrNdIn.

Cell lengths 5.6248, 5.6248, 5.6248 Å; angles 60.00, 60.00, 60.00 degrees
Last column: nearest neighbours and their distance in Å.
Positions (direct):
Pm (0.0000, 0.0000, 0.0000)  4 Nd 3.44, 4 Pr 3.44
Pr (0.2500, 0.2500, 0.2500)  4 In 3.44, 4 Pm 3.44
Nd (0.7500, 0.7500, 0.7500)  4 In 3.44, 4 Pm 3.44
In (0.5000, 0.5000, 0.5000)  4 Pr 3.44, 4 Nd 3.44

Energy of formation from the pure elements ... -0.1358 eV/atom
Symmetry ... F-43m (216)
Offset from the most stable computed form ... 117 meV/atom
Spin magnetization ... 0.309 μB/atom



Record 6
A plane-wave DFT calculation with GGA-PBE was carried out for a relaxed structure of Ac3AlSn3.

Cell lengths 6.6504, 6.6504, 15.9382 Å; angles 107.27, 107.27, 42.74 degrees
Last column: nearest neighbours and their distance in Å.
Positions (direct):
Ac (0.0145, 0.0145, 0.3841)  6 Sn 3.42-3.67, 3 Al 3.55-3.59, 1 Ac 3.82
Ac (0.1040, 0.1040, 0.9203)  7 Sn 3.43-3.68
Ac (0.2356, 0.2356, 0.2314)  6 Sn 3.41-3.63, 2 Al 3.44
Ac (0.7644, 0.7644, 0.7686)  6 Sn 3.41-3.63, 2 Al 3.44
Ac (0.8960, 0.8960, 0.0797)  7 Sn 3.43-3.68
Ac (0.9855, 0.9855, 0.6159)  6 Sn 3.42-3.67, 3 Al 3.55-3.59, 1 Ac 3.82
Al (0.2729, 0.2729, 0.6180)  4 Sn 2.86-2.94
Al (0.7271, 0.7271, 0.3820)  4 Sn 2.86-2.94
Sn (0.3407, 0.3407, 0.4569)  3 Al 2.86-2.94
Sn (0.3821, 0.3821, 0.9241)  2 Sn 3.14, 5 Ac 3.43-3.44
Sn (0.4821, 0.4821, 0.7664)  1 Al 2.90, 1 Sn 3.14
Sn (0.5179, 0.5179, 0.2336)  1 Al 2.90, 1 Sn 3.14
Sn (0.6179, 0.6179, 0.0759)  2 Sn 3.14, 5 Ac 3.43-3.44
Sn (0.6593, 0.6593, 0.5431)  3 Al 2.86-2.94

Energy of formation from the pure elements ... -0.6182 eV/atom
Symmetry ... C2/m (12)
Offset from the most stable computed form ... 0 meV/atom
Spin magnetization ... 0.000 μB/atom



Record 7
A plane-wave DFT calculation with GGA-PBE was carried out for a relaxed structure of NdBSe2.

Cell lengths 8.6600, 8.6600, 8.6600 Å; angles 22.75, 22.75, 22.75 degrees
Last column: nearest neighbours and their distance in Å.
Positions (direct):
Nd (0.0000, 0.0000, 0.0000)  2 Se 2.95
B (0.5000, 0.5000, 0.5000)  6 Se 2.35
Se (0.1165, 0.1165, 0.1165)  3 B 2.35
Se (0.8835, 0.8835, 0.8835)  3 B 2.35

Symmetry ... R-3m (166)
E_form (uncorrected) ... 0.226 eV per atom
Spin magnetization ... 0.000 μB/atom



Record 8
A plane-wave DFT calculation with GGA-PBE was carried out for a relaxed structure of CaTb2In9.

Cell lengths 4.6714, 4.6714, 14.0077 Å; angles 90.00, 90.00, 90.00 degrees
Last column: nearest neighbours and their distance in Å.
Positions (direct):
Ca (0.0000, 0.0000, 0.0000)  12 In 3.30-3.32
Tb (0.0000, 0.0000, 0.3363)  12 In 3.27-3.32
Tb (0.0000, 0.0000, 0.6637)  12 In 3.27-3.32
In (0.0000, 0.5000, 0.1683)  8 In 3.29-3.32, 2 Tb 3.32, 2 Ca 3.32
In (0.0000, 0.5000, 0.5000)  4 Tb 3.27, 8 In 3.30
In (0.0000, 0.5000, 0.8317)  8 In 3.29-3.32, 2 Tb 3.32, 2 Ca 3.32
In (0.5000, 0.0000, 0.1683)  8 In 3.29-3.32, 2 Tb 3.32, 2 Ca 3.32
In (0.5000, 0.0000, 0.5000)  4 Tb 3.27, 8 In 3.30
In (0.5000, 0.0000, 0.8317)  8 In 3.29-3.32, 2 Tb 3.32, 2 Ca 3.32
In (0.5000, 0.5000, 0.0000)  4 Ca 3.30, 8 In 3.32
In (0.5000, 0.5000, 0.3338)  8 In 3.29-3.30, 4 Tb 3.30
In (0.5000, 0.5000, 0.6662)  8 In 3.29-3.30, 4 Tb 3.30

Energy of formation from the pure elements ... -0.3934 eV/atom
Symmetry ... P4/mmm (123)
Spin magnetization ... 0.000 μB/atom



Record 9
A plane-wave DFT calculation with GGA-PBE was carried out for a relaxed structure of FeReAu2.

Cell lengths 5.0177, 5.0177, 2.7084 Å; angles 90.00, 90.00, 111.46 degrees
Last column: nearest neighbours and their distance in Å.
Positions (direct):
Fe (0.0000, 0.0000, 0.0000)  2 Fe 2.71, 2 Re 2.83, 8 Au 2.85
Re (0.5000, 0.5000, 0.0000)  2 Re 2.71, 2 Fe 2.83, 8 Au 2.85
Au (0.0000, 0.5000, 0.5000)  4 Au 2.71-2.83, 4 Fe 2.85, 4 Re 2.85
Au (0.5000, 0.0000, 0.5000)  4 Au 2.71-2.83, 4 Fe 2.85, 4 Re 2.85

Energy of formation from the pure elements ... 0.4444 eV/atom
Symmetry ... Cmmm (65)
Offset from the most stable computed form ... 219 meV/atom
Spin magnetization ... 0.880 μB/atom



Record 10
A plane-wave DFT calculation with GGA-PBE was carried out for a relaxed structure of ScFe2Mo.

Cell lengths 4.9304, 4.9304, 4.9304 Å; angles 141.99, 126.75, 67.28 degrees
Last column: nearest neighbours and their distance in Å.
Positions (direct):
Sc (0.0000, 0.0000, 0.0000)  8 Fe 2.69-2.94, 4 Mo 2.73
Fe (0.2632, 0.7632, 0.5000)  2 Mo 2.52, 2 Sc 2.69, 4 Fe 2.74
Fe (0.7368, 0.2368, 0.5000)  2 Mo 2.52, 2 Sc 2.69, 4 Fe 2.74
Mo (0.5000, 0.5000, 0.0000)  4 Fe 2.52, 4 Sc 2.73

Energy of formation from the pure elements ... 0.1958 eV/atom
Symmetry ... Immm (71)
Spin magnetization ... 0.713 μB/atom



Record 11
A plane-wave DFT calculation with GGA-PBE was carried out for a relaxed structure of Bi5IO7.

Cell lengths 9.9476, 9.9476, 13.2310 Å; angles 102.71, 102.71, 24.34 degrees
Last column: nearest neighbours and their distance in Å.
Positions (direct):
Bi (0.0391, 0.0391, 0.3773)  4 O 2.18-2.33
Bi (0.1186, 0.1186, 0.1308)  4 O 2.19-2.28
Bi (0.2271, 0.2271, 0.8678)  4 O 2.13-2.30
Bi (0.2930, 0.2930, 0.6276)  6 O 2.33-2.58
Bi (0.3739, 0.3739, 0.3966)  4 O 2.16-2.37
Bi (0.6261, 0.6261, 0.6034)  4 O 2.16-2.37
Bi (0.7070, 0.7070, 0.3724)  6 O 2.33-2.58
Bi (0.7729, 0.7729, 0.1322)  4 O 2.13-2.30
Bi (0.8814, 0.8814, 0.8692)  4 O 2.19-2.28
Bi (0.9609, 0.9609, 0.6227)  4 O 2.18-2.33
I (0.4411, 0.4411, 0.1422)  9 Bi 3.86-4.11, 6 O 4.10-4.27, 2 I 4.19
I (0.5589, 0.5589, 0.8578)  9 Bi 3.86-4.11, 6 O 4.10-4.27, 2 I 4.19
O (0.0750, 0.0750, 0.5457)  3 Bi 2.18-2.37
O (0.1357, 0.1357, 0.2999)  2 Bi 2.19-2.33
O (0.1957, 0.1957, 0.7029)  2 Bi 2.13-2.33
O (0.2247, 0.2247, 0.0983)  3 Bi 2.20-2.30
O (0.2737, 0.2737, 0.4412)  2 Bi 2.16-2.41
O (0.3364, 0.3364, 0.8361)  3 Bi 2.26-2.28
O (0.4173, 0.4173, 0.5752)  3 Bi 2.30-2.32
O (0.5827, 0.5827, 0.4248)  3 Bi 2.30-2.32
O (0.6636, 0.6636, 0.1639)  3 Bi 2.26-2.28
O (0.7263, 0.7263, 0.5588)  2 Bi 2.16-2.41
O (0.7753, 0.7753, 0.9017)  3 Bi 2.20-2.30
O (0.8043, 0.8043, 0.2971)  2 Bi 2.13-2.33
O (0.8643, 0.8643, 0.7001)  2 Bi 2.19-2.33
O (0.9250, 0.9250, 0.4543)  3 Bi 2.18-2.37

Symmetry ... C2/m (12)
E_form (uncorrected) ... -1.175 eV per atom
Spin magnetization ... 0.000 μB/atom



Record 12
A plane-wave DFT calculation with GGA-PBE was carried out for a relaxed structure of Zr2CuHg2Se6.

Cell lengths 6.8344, 6.8344, 8.1007 Å; angles 99.20, 99.20, 122.16 degrees
Last column: nearest neighbours and their distance in Å.
Positions (direct):
Zr (0.1483, 0.8517, 0.0000)  6 Se 2.62-2.80
Zr (0.8517, 0.1483, 0.0000)  6 Se 2.62-2.80
Cu (0.5000, 0.5000, 0.0000)  4 Se 2.53
Hg (0.1812, 0.8188, 0.5000)  2 Se 2.70
Hg (0.8188, 0.1812, 0.5000)  2 Se 2.70
Se (0.1331, 0.4592, 0.8217)  1 Cu 2.53, 1 Hg 2.70, 2 Zr 2.78-2.80
Se (0.2252, 0.2252, 0.2231)  2 Zr 2.62
Se (0.4592, 0.1331, 0.8217)  1 Cu 2.53, 1 Hg 2.70, 2 Zr 2.78-2.80
Se (0.5408, 0.8669, 0.1783)  1 Cu 2.53, 1 Hg 2.70, 2 Zr 2.78-2.80
Se (0.7748, 0.7748, 0.7769)  2 Zr 2.62
Se (0.8669, 0.5408, 0.1783)  1 Cu 2.53, 1 Hg 2.70, 2 Zr 2.78-2.80

Symmetry ... C2/m (12)
E_form (uncorrected) ... -0.674 eV per atom
Spin magnetization ... 0.000 μB/atom